Version A
Tb5Sm2Ho12: relaxed, PBE.

Properties
Total magnetic moment   0.00 μB/f.u.
D(E_F)   1.332 states/eV per atom
Space group   P-1, No. 2
Calculated volume   603.5 Å³ per cell

Cell: 6.2268 12.0475 17.2942 Å, 151.60 101.80 80.68°
Sites, in units of the cell vectors:
Tb (0.3626, 0.6701, 0.6611)
Ho (0.6895, 0.9072, 0.2404)
Ho (0.0905, 0.5336, 0.3737)
Sm (0.7398, 0.0692, 0.0023)
Tb (0.6374, 0.3299, 0.3389)
Tb (0.2144, 0.6860, 0.1748)
Tb (0.7856, 0.3140, 0.8252)
Ho (0.2744, 0.5396, 0.9005)
Tb (0.0000, 0.0000, 0.5000)
Ho (0.2298, 0.2533, 0.0386)
Ho (0.4575, 0.2494, 0.5754)
Sm (0.2602, 0.9308, 0.9977)
Ho (0.7256, 0.4604, 0.0995)
Ho (0.8350, 0.8825, 0.7068)
Ho (0.1650, 0.1175, 0.2932)
Ho (0.3105, 0.0928, 0.7596)
Ho (0.9095, 0.4664, 0.6263)
Ho (0.7702, 0.7467, 0.9614)
Ho (0.5425, 0.7506, 0.4246)

---

Version B
Tb5Sm2Ho12: relaxed, PBE.

Properties
Total magnetic moment   0.00 μB/f.u.
D(E_F)   1.450 states/eV per atom
Space group   C2/m, No. 12
Calculated volume   614.3 Å³ per cell

Cell: 9.2176 12.3142 8.5176 Å, 132.49 90.00 111.98°
Sites, in units of the cell vectors:
Ho (0.5638, 0.7454, 0.4033)
Tb (0.6998, 0.3997, 0.3875)
Ho (0.0263, 0.6924, 0.9351)
Sm (0.6800, 0.0000, 0.0000)
Ho (0.1816, 0.7454, 0.4033)
Ho (0.0881, 0.1762, 0.2953)
Ho (0.4423, 0.8846, 0.2166)
Tb (0.3002, 0.6003, 0.6125)
Tb (0.0000, 0.0000, 0.5000)
Tb (0.2310, 0.4621, 0.8880)
Sm (0.3200, 0.0000, 0.0000)
Ho (0.5577, 0.1154, 0.7834)
Ho (0.8184, 0.2546, 0.5967)
Ho (0.6662, 0.6924, 0.9351)
Ho (0.3338, 0.3076, 0.0649)
Ho (0.9119, 0.8238, 0.7047)
Ho (0.9737, 0.3076, 0.0649)
Ho (0.4362, 0.2546, 0.5967)
Tb (0.7690, 0.5379, 0.1120)

---

Q: Which of them is the least stable? A: version B.

---

Version A
Tb7Sm2Ho2: relaxed, PBE.

Properties
Total magnetic moment   0.00 μB/f.u.
D(E_F)   1.612 states/eV per atom
Space group   P-1, No. 2
Calculated volume   356.1 Å³ per cell

Cell: 8.8988 6.7158 6.5388 Å, 96.10 98.57 110.71°
Sites, in units of the cell vectors:
Sm (0.9283, 0.3187, 0.7886)
Tb (0.3285, 0.4155, 0.1016)
Tb (0.6715, 0.5845, 0.8984)
Ho (0.0436, 0.8802, 0.7432)
Ho (0.9564, 0.1198, 0.2568)
Tb (0.7163, 0.4259, 0.3862)
Sm (0.0717, 0.6813, 0.2114)
Tb (0.5000, 0.0000, 0.0000)
Tb (0.3599, 0.1209, 0.5044)
Tb (0.6401, 0.8791, 0.4956)
Tb (0.2837, 0.5741, 0.6138)

---

Version B
Tb7Sm2Ho2: relaxed, PBE.

Properties
Total magnetic moment   0.00 μB/f.u.
D(E_F)   1.404 states/eV per atom
Space group   C2/m, No. 12
Calculated volume   362.7 Å³ per cell

Cell: 8.4204 6.6482 6.6482 Å, 88.34 80.84 80.84°
Sites, in units of the cell vectors:
Tb (0.4837, 0.6913, 0.6913)
Tb (0.5163, 0.3087, 0.3087)
Ho (0.5000, 0.8149, 0.1851)
Tb (0.8123, 0.4983, 0.9017)
Ho (0.5000, 0.1851, 0.8149)
Tb (0.8123, 0.9017, 0.4983)
Tb (0.1877, 0.5017, 0.0983)
Tb (0.1877, 0.0983, 0.5017)
Sm (0.1483, 0.6033, 0.6033)
Tb (0.0000, 0.0000, 0.0000)
Sm (0.8517, 0.3967, 0.3967)

---

Q: Which of them is the least stable? A: version B.

---

Version A
Tb7SmHo3: relaxed, PBE.

Properties
Total magnetic moment   0.00 μB/f.u.
D(E_F)   1.586 states/eV per atom
Space group   P3m1, No. 156
Calculated volume   371.2 Å³ per cell

Cell: 8.5886 7.0647 7.0647 Å, 120.00 90.00 90.00°
Sites, in units of the cell vectors:
Tb (0.4510, 0.8321, 0.1679)
Tb (0.4510, 0.3358, 0.1679)
Ho (0.7838, 0.5003, 0.4997)
Ho (0.7838, 0.9995, 0.4997)
Ho (0.7838, 0.5003, 0.0005)
Tb (0.1208, 0.6667, 0.3333)
Tb (0.1150, 0.1679, 0.8321)
Tb (0.4510, 0.8321, 0.6642)
Sm (0.4450, 0.3333, 0.6667)
Tb (0.1150, 0.1679, 0.3357)
Tb (0.1150, 0.6643, 0.8321)

---

Version B
Tb7SmHo3: relaxed, PBE.

Properties
Total magnetic moment   0.00 μB/f.u.
D(E_F)   1.482 states/eV per atom
Space group   P2/m, No. 10
Calculated volume   358.8 Å³ per cell

Cell: 8.9032 9.8825 5.5475 Å, 90.00 128.52 105.55°
Sites, in units of the cell vectors:
Tb (0.3534, 0.7095, 0.8533)
Ho (0.2219, 0.0019, 0.7221)
Tb (0.0793, 0.1688, 0.0792)
Ho (0.7781, 0.9981, 0.2779)
Tb (0.5000, 0.0000, 0.5000)
Ho (0.0000, 0.5000, 0.0000)
Tb (0.8239, 0.6423, 0.3240)
Sm (0.5000, 0.5000, 0.5000)
Tb (0.9207, 0.8312, 0.9208)
Tb (0.1761, 0.3577, 0.6760)
Tb (0.6466, 0.2905, 0.1467)

---

Q: Which of them is the least stable? A: version A.

---

Version A
Tb4Sm2Ho: relaxed, PBE.

Properties
Total magnetic moment   0.00 μB/f.u.
D(E_F)   1.676 states/eV per atom
Space group   P2_1/m, No. 11
Calculated volume   454.3 Å³ per cell

Cell: 6.0987 6.6180 11.6023 Å, 90.00 104.01 90.00°
Sites, in units of the cell vectors:
Tb (0.3514, 0.4934, 0.7123)
Sm (0.7130, 0.7500, 0.5719)
Tb (0.9776, 0.2500, 0.1446)
Ho (0.8541, 0.2500, 0.8423)
Tb (0.6486, 0.9934, 0.2877)
Sm (0.3994, 0.2500, 0.0058)
Tb (0.3514, 0.0066, 0.7123)
Tb (0.6486, 0.5066, 0.2877)
Tb (0.0224, 0.7500, 0.8554)
Sm (0.6006, 0.7500, 0.9942)
Ho (0.1459, 0.7500, 0.1577)
Tb (0.1512, 0.7500, 0.4448)
Sm (0.2870, 0.2500, 0.4281)
Tb (0.8488, 0.2500, 0.5552)

---

Version B
Tb4Sm2Ho: relaxed, PBE.

Properties
Total magnetic moment   0.00 μB/f.u.
D(E_F)   1.163 states/eV per atom
Space group   C2/m, No. 12
Calculated volume   916.4 Å³ per cell

Cell: 3.6970 12.6283 19.7076 Å, 95.09 90.00 90.00°
Sites, in units of the cell vectors:
Ho (0.0000, 0.0000, 0.5000)
Sm (0.0000, 0.8675, 0.8258)
Tb (0.4999, 0.7651, 0.4300)
Tb (0.9999, 0.7724, 0.0671)
Tb (0.5000, 0.3069, 0.2897)
Sm (0.0000, 0.1324, 0.1742)
Ho (0.5000, 0.0000, 0.0000)
Tb (0.5001, 0.2724, 0.0671)
Sm (0.5000, 0.0471, 0.3434)
Sm (0.5000, 0.9529, 0.6566)
Sm (0.0000, 0.4528, 0.6566)
Tb (0.0001, 0.2651, 0.4300)
Tb (0.4999, 0.7276, 0.9329)
Tb (0.5001, 0.0795, 0.8266)
Sm (0.5000, 0.3676, 0.8258)
Tb (0.0001, 0.2276, 0.9329)
Tb (0.0000, 0.8069, 0.2897)
Sm (0.5000, 0.6325, 0.1742)
Ho (0.5000, 0.5000, 0.5000)
Tb (0.0000, 0.1931, 0.7104)
Tb (0.5000, 0.6931, 0.7103)
Tb (0.9999, 0.5795, 0.8266)
Tb (0.9999, 0.7349, 0.5700)
Sm (0.0000, 0.5471, 0.3434)
Tb (0.0001, 0.4205, 0.1734)
Ho (0.0000, 0.5000, 0.0000)
Tb (0.5001, 0.2349, 0.5700)
Tb (0.4999, 0.9205, 0.1734)

---

Q: Which of them is the least stable? A: version A.

---

Version A
Tb3SmHo4: relaxed, PBE.

Properties
Total magnetic moment   0.00 μB/f.u.
D(E_F)   1.543 states/eV per atom
Space group   Cmmm, No. 65
Calculated volume   260.7 Å³ per cell

Cell: 5.6341 3.5369 13.3809 Å, 90.00 102.15 90.00°
Sites, in units of the cell vectors:
Sm (0.5000, 0.0000, 0.0000)
Ho (0.2763, 0.4991, 0.5526)
Ho (0.3954, 0.4995, 0.7908)
Ho (0.6046, 0.5005, 0.2092)
Tb (0.1558, 0.0004, 0.3116)
Tb (0.8442, 0.9996, 0.6884)
Tb (0.0000, 0.5000, 0.0000)
Ho (0.7237, 0.5009, 0.4474)

---

Version B
Tb3SmHo4: relaxed, PBE.

Properties
Total magnetic moment   0.00 μB/f.u.
D(E_F)   1.676 states/eV per atom
Space group   Pmn2_1, No. 31
Calculated volume   514.1 Å³ per cell

Cell: 6.2779 7.2620 11.2758 Å, 90.00 90.00 90.00°
Sites, in units of the cell vectors:
Tb (0.4812, 0.3735, 0.2502)
Tb (0.6474, 0.6262, 0.0000)
Ho (0.1484, 0.8763, 0.5000)
Ho (0.6484, 0.1237, 0.0000)
Tb (0.9812, 0.6265, 0.2498)
Ho (0.6476, 0.1235, 0.5000)
Tb (0.4812, 0.3735, 0.7498)
Sm (0.6481, 0.6261, 0.5000)
Ho (0.4807, 0.8764, 0.7508)
Ho (0.4807, 0.8764, 0.2492)
Ho (0.9807, 0.1236, 0.2508)
Tb (0.1474, 0.3738, 0.5000)
Tb (0.9812, 0.6265, 0.7502)
Sm (0.1481, 0.3739, 0.0000)
Ho (0.9807, 0.1236, 0.7492)
Ho (0.1476, 0.8765, 0.0000)

---

Q: Which of them is the least stable? A: version A.

---

Version A
Tb2Sm5Ho3: relaxed, PBE.

Properties
Total magnetic moment   0.00 μB/f.u.
D(E_F)   1.955 states/eV per atom
Space group   C2/c, No. 15
Calculated volume   668.8 Å³ per cell

Cell: 9.7720 9.7957 11.1816 Å, 127.77 127.72 66.48°
Sites, in units of the cell vectors:
Sm (0.3922, 0.1430, 0.7605)
Ho (0.2717, 0.5360, 0.7568)
Sm (0.6078, 0.8570, 0.2395)
Ho (0.7283, 0.4640, 0.2432)
Sm (0.8683, 0.6174, 0.7605)
Sm (0.9804, 0.2304, 0.4609)
Tb (0.5304, 0.2677, 0.2461)
Sm (0.1317, 0.3826, 0.2395)
Ho (0.0149, 0.7792, 0.2432)
Sm (0.2777, 0.5277, 0.0554)
Sm (0.5217, 0.2717, 0.5434)
Ho (0.2270, 0.9770, 0.9540)
Tb (0.2157, 0.9783, 0.2461)
Sm (0.4783, 0.7283, 0.4566)
Sm (0.0196, 0.7696, 0.5391)
Tb (0.4696, 0.7323, 0.7539)
Ho (0.9851, 0.2208, 0.7568)
Sm (0.7223, 0.4723, 0.9446)
Ho (0.7730, 0.0230, 0.0460)
Tb (0.7843, 0.0217, 0.7539)

---

Version B
Tb2Sm5Ho3: relaxed, PBE.

Properties
Total magnetic moment   0.00 μB/f.u.
D(E_F)   1.500 states/eV per atom
Space group   Ibam, No. 72
Calculated volume   697.1 Å³ per cell

Cell: 10.9103 9.9085 9.9085 Å, 56.47 56.59 56.59°
Sites, in units of the cell vectors:
Sm (0.3730, 0.7269, 0.5270)
Ho (0.1241, 0.1266, 0.6253)
Ho (0.8759, 0.8734, 0.3747)
Ho (0.2500, 0.0000, 0.0000)
Tb (0.6221, 0.9697, 0.7861)
Sm (0.1270, 0.4730, 0.2731)
Sm (0.2500, 0.5000, 0.5000)
Ho (0.7500, 0.0000, 0.0000)
Tb (0.1221, 0.7861, 0.9697)
Tb (0.3779, 0.0303, 0.2139)
Sm (0.8730, 0.5270, 0.7269)
Sm (0.0018, 0.2482, 0.2482)
Sm (0.5018, 0.2482, 0.2482)
Tb (0.8779, 0.2139, 0.0303)
Ho (0.3759, 0.3747, 0.8734)
Sm (0.7500, 0.5000, 0.5000)
Sm (0.4982, 0.7518, 0.7518)
Ho (0.6241, 0.6253, 0.1266)
Sm (0.6270, 0.2731, 0.4730)
Sm (0.9982, 0.7518, 0.7518)

---

Q: Which of them is the least stable? A: version B.

---

Version A
TbSm7Ho3: relaxed, PBE.

Properties
Total magnetic moment   0.00 μB/f.u.
D(E_F)   1.390 states/eV per atom
Space group   P2/m, No. 10
Calculated volume   369.7 Å³ per cell

Cell: 5.6130 9.9739 9.0112 Å, 105.87 128.54 89.99°
Sites, in units of the cell vectors:
Sm (0.6788, 0.3593, 0.1788)
Sm (0.8534, 0.7083, 0.3534)
Sm (0.9172, 0.8298, 0.9173)
Ho (0.0000, 0.5000, 0.0000)
Ho (0.2788, 0.9993, 0.7789)
Sm (0.0828, 0.1702, 0.0827)
Ho (0.7212, 0.0007, 0.2211)
Sm (0.5000, 0.0000, 0.5000)
Sm (0.3212, 0.6407, 0.8212)
Tb (0.5000, 0.5000, 0.5000)
Sm (0.1466, 0.2917, 0.6466)

---

Version B
TbSm7Ho3: relaxed, PBE.

Properties
Total magnetic moment   0.14 μB/f.u.
D(E_F)   1.429 states/eV per atom
Space group   C2/m, No. 12
Calculated volume   373.1 Å³ per cell

Cell: 5.8572 8.5030 8.5030 Å, 82.98 110.18 110.18°
Sites, in units of the cell vectors:
Ho (0.0000, 0.7961, 0.2039)
Sm (0.6946, 0.9860, 0.4026)
Sm (0.3054, 0.0140, 0.5974)
Tb (0.5000, 0.5000, 0.5000)
Sm (0.3054, 0.5974, 0.0140)
Sm (0.6946, 0.4026, 0.9860)
Sm (0.0000, 0.5000, 0.5000)
Sm (0.7893, 0.7909, 0.7909)
Sm (0.2107, 0.2091, 0.2091)
Ho (0.0000, 0.2039, 0.7961)
Ho (0.5000, 0.0000, 0.0000)

---

Q: Which of them is the least stable? A: version B.

---

Version A
Tb2Sm2Ho3: relaxed, PBE.

Properties
Total magnetic moment   0.00 μB/f.u.
D(E_F)   1.537 states/eV per atom
Space group   C2/m, No. 12
Calculated volume   228.2 Å³ per cell

Cell: 3.5015 8.5461 8.9085 Å, 118.56 101.33 90.00°
Sites, in units of the cell vectors:
Tb (0.8512, 0.6688, 0.7024)
Sm (0.5664, 0.9104, 0.1328)
Tb (0.1488, 0.3312, 0.2976)
Ho (0.7883, 0.1985, 0.5766)
Ho (0.0000, 0.5000, 0.0000)
Sm (0.4336, 0.0896, 0.8672)
Ho (0.2117, 0.8015, 0.4234)

---

Version B
Tb2Sm2Ho3: relaxed, PBE.

Properties
Total magnetic moment   0.00 μB/f.u.
D(E_F)   1.329 states/eV per atom
Space group   C2/m, No. 12
Calculated volume   223.7 Å³ per cell

Cell: 3.5625 11.2685 6.1656 Å, 100.53 73.22 108.39°
Sites, in units of the cell vectors:
Sm (0.8592, 0.1444, 0.5713)
Ho (0.0000, 0.0000, 0.0000)
Ho (0.4275, 0.5707, 0.2860)
Sm (0.1408, 0.8556, 0.4287)
Tb (0.7164, 0.2876, 0.1418)
Ho (0.5725, 0.4293, 0.7140)
Tb (0.2836, 0.7124, 0.8582)

---

Q: Which of them is the least stable? A: version A.

---

Version A
Tb4Sm6Ho: relaxed, PBE.

Properties
Total magnetic moment   0.00 μB/f.u.
D(E_F)   1.240 states/eV per atom
Space group   I-42m, No. 121
Calculated volume   383.7 Å³ per cell

Cell: 7.5318 7.5318 8.6089 Å, 115.94 115.94 90.00°
Sites, in units of the cell vectors:
Tb (0.0874, 0.7532, 0.8406)
Sm (0.9154, 0.4593, 0.3747)
Sm (0.0846, 0.0846, 0.6253)
Tb (0.9126, 0.9126, 0.1594)
Tb (0.2468, 0.2468, 0.1594)
Sm (0.0000, 0.5000, 0.0000)
Sm (0.4593, 0.9154, 0.3747)
Ho (0.5000, 0.5000, 0.0000)
Sm (0.5407, 0.5407, 0.6253)
Tb (0.7532, 0.0874, 0.8406)
Sm (0.5000, 0.0000, 0.0000)

---

Version B
Tb4Sm6Ho: relaxed, PBE.

Properties
Total magnetic moment   0.00 μB/f.u.
D(E_F)   1.747 states/eV per atom
Space group   Cmcm, No. 63
Calculated volume   724.3 Å³ per cell

Cell: 5.8471 5.6429 25.6661 Å, 90.00 90.00 121.20°
Sites, in units of the cell vectors:
Ho (0.7837, 0.5674, 0.2500)
Sm (0.4455, 0.8910, 0.2500)
Tb (0.5486, 0.0973, 0.8771)
Sm (0.5000, 0.0000, 0.0000)
Sm (0.1187, 0.2374, 0.1825)
Ho (0.2163, 0.4326, 0.7500)
Tb (0.8526, 0.7051, 0.5438)
Sm (0.7954, 0.5907, 0.3965)
Sm (0.2046, 0.4093, 0.8965)
Sm (0.7954, 0.5907, 0.1035)
Sm (0.5000, 0.0000, 0.5000)
Sm (0.2046, 0.4093, 0.6035)
Tb (0.8526, 0.7051, 0.9562)
Sm (0.8813, 0.7626, 0.8175)
Tb (0.1474, 0.2949, 0.4562)
Tb (0.1474, 0.2949, 0.0438)
Sm (0.8813, 0.7626, 0.6825)
Tb (0.5486, 0.0973, 0.6229)
Sm (0.5545, 0.1090, 0.7500)
Tb (0.4514, 0.9027, 0.3771)
Sm (0.1187, 0.2374, 0.3175)
Tb (0.4514, 0.9027, 0.1229)

---

Q: Which of them is the least stable? A: version A.